Material: KTlCl2
Method: DFT, PBE
State: optimized geometry

Properties
* formation energy (no corrections): -1277 meV/atom
* final energy: -3.07 eV/atom
* E above lowest polymorph: 0.86 eV/f.u.

a b c (Å): 9.481 9.481 9.481
angles (deg): 28.90 28.90 28.90
Fractional coordinates of all 4 atoms:
K 0.000 0.000 0.000
Tl 0.500 0.500 0.500
Cl 0.395 0.395 0.395
Cl 0.605 0.605 0.605

Material: SrGa
Method: DFT, PBE
State: optimized geometry

Properties
* E_form: -0.343 eV/atom
* final energy: -2.70 eV/atom

a b c (Å): 9.102 9.102 5.408
angles (deg): 90.00 90.00 120.00
Fractional coordinates of all 12 atoms:
Sr 0.185 0.371 0.250
Sr 0.185 0.815 0.250
Sr 0.371 0.185 0.750
Sr 0.629 0.815 0.250
Sr 0.815 0.185 0.750
Sr 0.815 0.629 0.750
Ga 0.141 0.570 0.750
Ga 0.430 0.570 0.750
Ga 0.430 0.859 0.750
Ga 0.570 0.141 0.250
Ga 0.570 0.430 0.250
Ga 0.859 0.430 0.250

Material: HfTaVOs
Method: DFT, PBE
State: optimized geometry

Properties
* E_form: -0.290 eV/atom
* final energy: -10.83 eV/atom

a b c (Å): 4.545 4.545 4.545
angles (deg): 60.00 60.00 60.00
Fractional coordinates of all 4 atoms:
Hf 0.000 0.000 0.000
Ta 0.500 0.500 0.500
V 0.750 0.750 0.750
Os 0.250 0.250 0.250

Material: AgGeRh2
Method: DFT, PBE
State: optimized geometry

Properties
* E_form: -0.232 eV/atom
* final energy: -5.77 eV/atom

a b c (Å): 2.992 2.992 6.765
angles (deg): 90.00 90.00 90.00
Fractional coordinates of all 4 atoms:
Ag 0.000 0.000 0.000
Ge 0.000 0.000 0.500
Rh 0.500 0.500 0.289
Rh 0.500 0.500 0.711

Material: Sr2Ag3Hg2
Method: DFT, PBE
State: optimized geometry

Properties
* E_form: -0.313 eV/atom
* final energy: -2.10 eV/atom

a b c (Å): 6.086 6.086 7.314
angles (deg): 107.46 107.46 46.44
Fractional coordinates of all 7 atoms:
Sr 0.140 0.140 0.261
Sr 0.860 0.860 0.739
Ag 0.400 0.400 0.081
Ag 0.500 0.500 0.500
Ag 0.600 0.600 0.919
Hg 0.158 0.158 0.732
Hg 0.842 0.842 0.268

Material: Ac6PmSn3
Method: DFT, PBE
State: optimized geometry

Properties
* E_form: -0.319 eV/atom
* final energy: -4.46 eV/atom

a b c (Å): 10.284 10.284 7.901
angles (deg): 90.00 90.00 102.90
Fractional coordinates of all 20 atoms:
Ac 0.043 0.957 0.500
Ac 0.057 0.467 0.984
Ac 0.256 0.744 0.651
Ac 0.283 0.352 0.658
Ac 0.352 0.283 0.158
Ac 0.467 0.057 0.484
Ac 0.533 0.943 0.984
Ac 0.648 0.717 0.658
Ac 0.717 0.648 0.158
Ac 0.744 0.256 0.151
Ac 0.943 0.533 0.484
Ac 0.957 0.043 0.000
Pm 0.195 0.805 0.130
Pm 0.805 0.195 0.630
Sn 0.050 0.267 0.341
Sn 0.267 0.050 0.841
Sn 0.399 0.601 0.965
Sn 0.601 0.399 0.465
Sn 0.733 0.950 0.341
Sn 0.950 0.733 0.841

| no. | DOS at the Fermi energy (states/eV/f.u.) |
| --- | --- |
| 1 | 0.0 |
| 2 | 1.3 |
| 3 | 4.7 |
| 4 | 1.6 |
| 5 | 3.5 |
| 6 | 12.8 |